No. 1
AcZn2Cd | meta-GGA SCAN | single point on PBEsol structure

Unit cell a=5.044 b=5.044 c=5.044 alpha=60.00 beta=60.00 gamma=60.00
Fractional positions:
Zn 0.750 0.750 0.750
Zn 0.250 0.250 0.250
Ac 0.500 0.500 0.500
Cd 0.000 0.000 0.000

Output
As for the formation energy: -0.249 eV per atom. For the calculated volume, the calculation gives 22.7 Å³ per atom. For the energy, the calculation gives -37.2293 eV per atom.

No. 2
Zn2CoHg | meta-GGA SCAN | single point on PBEsol structure

Unit cell a=2.879 b=2.879 c=7.065 alpha=90.00 beta=90.00 gamma=90.00
Fractional positions:
Co 0.500 0.500 0.000
Hg 0.500 0.500 0.500
Zn 0.000 0.000 0.806
Zn 0.000 0.000 0.194

Output
As for the formation energy: 0.168 eV per atom. For the calculated volume, the calculation gives 14.6 Å³ per atom. For the energy, the calculation gives -27.9571 eV per atom.

No. 3
CaB2H8 | meta-GGA SCAN | single point on PBEsol structure

Unit cell a=5.718 b=5.718 c=7.378 alpha=112.80 beta=112.80 gamma=90.00
Fractional positions:
Ca 0.000 0.000 0.000
Ca 0.250 0.750 0.500
B 0.017 0.517 0.035
B 0.233 0.233 0.465
B 0.767 0.767 0.535
B 0.483 0.983 0.965
H 0.665 0.920 0.082
H 0.170 0.415 0.582
H 0.212 0.463 0.147
H 0.832 0.830 0.418
H 0.838 0.335 0.918
H 0.315 0.287 0.353
H 0.418 0.162 0.082
H 0.713 0.962 0.647
H 0.537 0.065 0.853
H 0.935 0.685 0.147
H 0.585 0.588 0.418
H 0.935 0.685 0.647
H 0.315 0.788 0.853
H 0.038 0.065 0.353
H 0.412 0.168 0.582
H 0.080 0.582 0.918

Output
For the calculated volume, the calculation gives 9.2 Å³ per atom. For the energy, the calculation gives -5.1313 eV per atom. The calculation puts the offset from the most stable computed form at 2.75 kJ per mole of atoms.